(1)
# NaAl2Pd2 (GGA-PBE, optimized geometry)
data_NaAl2Pd2
_symmetry_space_group_name_H-M 'P 1'
_symmetry_Int_Tables_number 1
_symmetry_space_group_name_Hall 'P 1'
_cell_length_a 7.634
_cell_length_b 7.634
_cell_length_c 2.819
_cell_angle_alpha 90.00
_cell_angle_beta 90.00
_cell_angle_gamma 90.00
loop_
_atom_site_label
_atom_site_fract_x
_atom_site_fract_y
_atom_site_fract_z
_atom_site_occupancy
Na1 0.000 0.000 0.000 1
Na2 0.500 0.500 0.000 1
Al1 0.130 0.370 0.000 1
Al2 0.370 0.870 0.000 1
Al3 0.630 0.130 0.000 1
Al4 0.870 0.630 0.000 1
Pd1 0.165 0.665 0.500 1
Pd2 0.335 0.165 0.500 1
Pd3 0.665 0.835 0.500 1
Pd4 0.835 0.335 0.500 1
# E_form: -0.650 eV per atom
# Space-group type: P4/mbm, No. 127
# Final energy: -44.88 eV per cell
# Volume: 16.43 A^3/atom
# Total moment: 0.00 μB per atom

(2)
# BaBe3Tl (GGA-PBE, optimized geometry)
data_BaBe3Tl
_symmetry_space_group_name_H-M 'P 1'
_symmetry_Int_Tables_number 1
_symmetry_space_group_name_Hall 'P 1'
_cell_length_a 5.733
_cell_length_b 5.733
_cell_length_c 5.733
_cell_angle_alpha 90.00
_cell_angle_beta 90.00
_cell_angle_gamma 90.00
loop_
_atom_site_label
_atom_site_fract_x
_atom_site_fract_y
_atom_site_fract_z
_atom_site_occupancy
Ba1 0.000 0.000 0.000 1
Be1 0.000 0.000 0.500 1
Be2 0.000 0.500 0.000 1
Be3 0.500 0.000 0.000 1
Tl1 0.500 0.500 0.500 1
# E_form: 1.922 eV per atom
# Space-group type: Pm-3m, No. 221
# Final energy: -5.86 eV per cell
# Volume: 37.69 A^3/atom
# Total moment: 0.09 μB per atom

(3)
# Cd2SiP (GGA-PBE, optimized geometry)
data_Cd2SiP
_symmetry_space_group_name_H-M 'P 1'
_symmetry_Int_Tables_number 1
_symmetry_space_group_name_Hall 'P 1'
_cell_length_a 5.382
_cell_length_b 5.382
_cell_length_c 5.382
_cell_angle_alpha 134.16
_cell_angle_beta 134.16
_cell_angle_gamma 66.84
loop_
_atom_site_label
_atom_site_fract_x
_atom_site_fract_y
_atom_site_fract_z
_atom_site_occupancy
Cd1 0.250 0.750 0.500 1
Cd2 0.750 0.250 0.500 1
Si1 0.000 0.000 0.000 1
P1 0.500 0.500 0.000 1
# E_form (uncorrected): 0.47 eV per atom
# Space-group type: I4/mmm, No. 139
# Final energy: -10.80 eV per cell
# Volume: 19.73 A^3/atom
# Total moment: 0.00 μB per atom

(4)
# ErZr2Ir (GGA-PBE, optimized geometry)
data_ErZr2Ir
_symmetry_space_group_name_H-M 'P 1'
_symmetry_Int_Tables_number 1
_symmetry_space_group_name_Hall 'P 1'
_cell_length_a 6.024
_cell_length_b 6.024
_cell_length_c 7.630
_cell_angle_alpha 90.00
_cell_angle_beta 90.00
_cell_angle_gamma 138.50
loop_
_atom_site_label
_atom_site_fract_x
_atom_site_fract_y
_atom_site_fract_z
_atom_site_occupancy
Er1 0.055 0.945 0.750 1
Er2 0.945 0.055 0.250 1
Zr1 0.355 0.645 0.549 1
Zr2 0.355 0.645 0.951 1
Zr3 0.645 0.355 0.049 1
Zr4 0.645 0.355 0.451 1
Ir1 0.222 0.778 0.250 1
Ir2 0.778 0.222 0.750 1
# E_form: -0.493 eV per atom
# Space-group type: Cmcm, No. 63
# Final energy: -64.98 eV per cell
# Volume: 22.93 A^3/atom
# Total moment: 0.00 μB per atom

The lowest final energy belongs to which entry?
ErZr2Ir